# Sm2DyHoSe6 | the Alexandria database | PBE | relaxed
# total energy: -5.80 eV/atom
# theoretical density: 6.1 g cm⁻³
data_Sm2DyHoSe6
_cell_length_a 7.2896
_cell_length_b 7.2896
_cell_length_c 19.5373
_cell_angle_alpha 90.00
_cell_angle_beta 90.00
_cell_angle_gamma 120.00
_symmetry_space_group_name_H-M 'R 3'
_symmetry_Int_Tables_number 146
_symmetry_space_group_name_Hall 'R 3'
loop_
_atom_site_label
_atom_site_fract_x
_atom_site_fract_y
_atom_site_fract_z
_atom_site_occupancy
Sm1 0.0000 0.0000 0.0000 1
Sm2 0.0000 0.0000 0.4996 1
Dy1 0.0000 0.0000 0.1986 1
Ho1 0.0000 0.0000 0.6981 1
Se1 0.0372 0.3565 0.7689 1
Se2 0.0375 0.6790 0.2689 1

# SrTlIO2 | the Alexandria database | PBE | relaxed
# theoretical density: 4.8 g cm⁻³
# relative energy among the computed polymorphs: 24.9 meV per atom
data_SrTlIO2
_cell_length_a 4.783
_cell_length_b 4.783
_cell_length_c 6.790
_cell_angle_alpha 90.00
_cell_angle_beta 90.00
_cell_angle_gamma 90.00
_symmetry_space_group_name_H-M 'P 4/m m m'
_symmetry_Int_Tables_number 123
_symmetry_space_group_name_Hall '-P 4 2'
loop_
_atom_site_label
_atom_site_fract_x
_atom_site_fract_y
_atom_site_fract_z
_atom_site_occupancy
Sr1 0.000 0.000 0.000 1
Tl1 0.500 0.500 0.500 1
I1 0.000 0.000 0.500 1
O1 0.000 0.500 0.000 1

# BaTbP2S8 | the Alexandria database | PBE | relaxed
# total energy: -5.05 eV/atom
# theoretical density: 3.4 g cm⁻³
data_BaTbP2S8
_cell_length_a 6.0840
_cell_length_b 6.0840
_cell_length_c 9.2961
_cell_angle_alpha 90.00
_cell_angle_beta 90.00
_cell_angle_gamma 120.00
_symmetry_space_group_name_H-M 'P -3'
_symmetry_Int_Tables_number 147
loop_
_symmetry_equiv_pos_as_xyz
'x,y,z'
'-x,-y,-z'
'-y,x-y,z'
'y,-x+y,-z'
'-x+y,-x,z'
'x-y,x,-z'
loop_
_atom_site_label
_atom_site_fract_x
_atom_site_fract_y
_atom_site_fract_z
_atom_site_occupancy
Ba1 0.0000 0.0000 0.0000 1
Tb1 0.0000 0.0000 0.5000 1
P1 0.3333 0.6667 0.7535 1
S1 0.0024 0.3490 0.6917 1
S2 0.3333 0.6667 0.9727 1

# CaSi2Pb | the Alexandria database | PBE | relaxed
# total energy: -4.07 eV/atom
# theoretical density: 5.6 g cm⁻³
data_CaSi2Pb
_cell_length_a 6.408
_cell_length_b 6.373
_cell_length_c 4.379
_cell_angle_alpha 90.00
_cell_angle_beta 90.41
_cell_angle_gamma 90.00
_symmetry_space_group_name_H-M 'C 1 2/m 1'
_symmetry_Int_Tables_number 12
loop_
_symmetry_equiv_pos_as_xyz
'x,y,z'
'-x,-y,-z'
'-x,y,-z'
'x,-y,z'
'x+1/2,y+1/2,z'
'-x+1/2,-y+1/2,-z'
'-x+1/2,y+1/2,-z'
'x+1/2,-y+1/2,z'
loop_
_atom_site_label
_atom_site_fract_x
_atom_site_fract_y
_atom_site_fract_z
_atom_site_occupancy
Ca1 0.000 0.000 0.000 1
Si1 0.250 0.250 0.500 1
Pb1 0.000 0.500 0.000 1

# Nd2InPd | the Alexandria database | PBE | relaxed
# calculated formation energy: -0.5187 eV/atom
# theoretical density: 7.9 g cm⁻³
# relative energy among the computed polymorphs: 90.9 meV per atom
data_Nd2InPd
_cell_length_a 7.540
_cell_length_b 7.540
_cell_length_c 7.540
_cell_angle_alpha 90.00
_cell_angle_beta 90.00
_cell_angle_gamma 90.00
_symmetry_space_group_name_H-M 'F m -3 m'
_symmetry_Int_Tables_number 225
_symmetry_space_group_name_Hall '-F 4 2 3'
loop_
_atom_site_label
_atom_site_fract_x
_atom_site_fract_y
_atom_site_fract_z
_atom_site_occupancy
Nd1 0.250 0.250 0.250 1
In1 0.000 0.000 0.000 1
Pd1 0.000 0.000 0.500 1

# Nb3AuN | the Alexandria database | PBE | relaxed
# total energy: -8.81 eV/atom
# theoretical density: 10.3 g cm⁻³
data_Nb3AuN
_cell_length_a 19.451
_cell_length_b 3.067
_cell_length_c 5.315
_cell_angle_alpha 90.00
_cell_angle_beta 93.48
_cell_angle_gamma 90.00
_symmetry_space_group_name_H-M 'C 1 m 1'
_symmetry_Int_Tables_number 8
loop_
_symmetry_equiv_pos_as_xyz
'x,y,z'
'x,-y,z'
'x+1/2,y+1/2,z'
'x+1/2,-y+1/2,z'
loop_
_atom_site_label
_atom_site_fract_x
_atom_site_fract_y
_atom_site_fract_z
_atom_site_occupancy
Nb1 0.000 0.000 0.000 1
Nb2 0.002 0.500 0.498 1
Nb3 0.127 0.000 0.367 1
Nb4 0.134 0.500 0.872 1
Nb5 0.259 0.500 0.601 1
Nb6 0.386 0.500 0.301 1
Au1 0.264 0.000 0.145 1
Au2 0.378 0.000 0.800 1
N1 0.064 0.500 0.177 1
N2 0.193 0.000 0.702 1

# Hf2TlW | the Alexandria database | PBE | relaxed
# calculated formation energy: 0.9495 eV/atom
# theoretical density: 14.0 g cm⁻³
# relative energy among the computed polymorphs: 944.0 meV per atom
data_Hf2TlW
_cell_length_a 4.173
_cell_length_b 4.173
_cell_length_c 20.311
_cell_angle_alpha 90.00
_cell_angle_beta 90.00
_cell_angle_gamma 90.00
_symmetry_space_group_name_H-M 'I -4 2 d'
_symmetry_Int_Tables_number 122
_symmetry_space_group_name_Hall 'I -4 2bw'
loop_
_atom_site_label
_atom_site_fract_x
_atom_site_fract_y
_atom_site_fract_z
_atom_site_occupancy
Hf1 0.239 0.250 0.125 1
Tl1 0.000 0.000 0.500 1
W1 0.000 0.000 0.000 1

# BaNaMg2Ga | the Alexandria database | PBE | relaxed
# calculated formation energy: 0.0072 eV/atom
# theoretical density: 2.8 g cm⁻³
data_BaNaMg2Ga
_cell_length_a 5.377
_cell_length_b 5.377
_cell_length_c 5.700
_cell_angle_alpha 90.00
_cell_angle_beta 90.00
_cell_angle_gamma 90.00
_symmetry_space_group_name_H-M 'P 4/m m m'
_symmetry_Int_Tables_number 123
_symmetry_space_group_name_Hall '-P 4 2'
loop_
_atom_site_label
_atom_site_fract_x
_atom_site_fract_y
_atom_site_fract_z
_atom_site_occupancy
Ba1 0.000 0.000 0.000 1
Na1 0.500 0.500 0.000 1
Mg1 0.000 0.500 0.500 1
Ga1 0.500 0.500 0.500 1

# Rb3ThTe6Pb2 | the Alexandria database | PBE | relaxed
# total energy: -3.91 eV/atom
# theoretical density: 5.7 g cm⁻³
data_Rb3ThTe6Pb2
_cell_length_a 8.117
_cell_length_b 14.060
_cell_length_c 8.999
_cell_angle_alpha 90.00
_cell_angle_beta 107.47
_cell_angle_gamma 90.00
_symmetry_space_group_name_H-M 'C 1 2/m 1'
_symmetry_Int_Tables_number 12
loop_
_symmetry_equiv_pos_as_xyz
'x,y,z'
'-x,-y,-z'
'-x,y,-z'
'x,-y,z'
'x+1/2,y+1/2,z'
'-x+1/2,-y+1/2,-z'
'-x+1/2,y+1/2,-z'
'x+1/2,-y+1/2,z'
loop_
_atom_site_label
_atom_site_fract_x
_atom_site_fract_y
_atom_site_fract_z
_atom_site_occupancy
Rb1 0.000 0.000 0.000 1
Rb2 0.000 0.328 0.000 1
Th1 0.000 0.500 0.500 1
Te1 0.229 0.339 0.704 1
Te2 0.247 0.000 0.706 1
Pb1 0.000 0.166 0.500 1

# Ag2C | the Alexandria database | PBE | relaxed
# calculated formation energy: 1.6210 eV/atom
# theoretical density: 8.5 g cm⁻³
# relative energy among the computed polymorphs: 994.6 meV per atom
data_Ag2C
_cell_length_a 4.991
_cell_length_b 12.008
_cell_length_c 2.972
_cell_angle_alpha 90.00
_cell_angle_beta 90.00
_cell_angle_gamma 90.00
_symmetry_space_group_name_H-M 'C m m m'
_symmetry_Int_Tables_number 65
_symmetry_space_group_name_Hall '-C 2 2'
loop_
_atom_site_label
_atom_site_fract_x
_atom_site_fract_y
_atom_site_fract_z
_atom_site_occupancy
Ag1 0.000 0.000 0.000 1
Ag2 0.000 0.201 0.500 1
Ag3 0.000 0.500 0.500 1
C1 0.000 0.351 0.000 1

# Pm7Dy3Tm | the Alexandria database | PBE | relaxed
# calculated formation energy: 0.1807 eV/atom
# theoretical density: 7.2 g cm⁻³
data_Pm7Dy3Tm
_cell_length_a 7.1572
_cell_length_b 7.1572
_cell_length_c 8.6675
_cell_angle_alpha 90.00
_cell_angle_beta 90.00
_cell_angle_gamma 120.00
_symmetry_space_group_name_H-M 'P 3 m 1'
_symmetry_Int_Tables_number 156
loop_
_symmetry_equiv_pos_as_xyz
'x,y,z'
'-y,x-y,z'
'-x+y,-x,z'
'-y,-x,z'
'-x+y,y,z'
'x,x-y,z'
loop_
_atom_site_label
_atom_site_fract_x
_atom_site_fract_y
_atom_site_fract_z
_atom_site_occupancy
Pm1 0.0000 0.0000 0.0000 1
Pm2 0.1659 0.3318 0.3318 1
Pm3 0.5008 0.0016 0.9888 1
Dy1 0.3346 0.1673 0.6585 1
Tm1 0.6667 0.3333 0.3218 1

# Pr6Bi2SbAs3 | the Alexandria database | PBE | relaxed
# total energy: -5.79 eV/atom
# theoretical density: 7.1 g cm⁻³
data_Pr6Bi2SbAs3
_cell_length_a 19.496
_cell_length_b 4.440
_cell_length_c 8.958
_cell_angle_alpha 90.00
_cell_angle_beta 104.14
_cell_angle_gamma 90.00
_symmetry_space_group_name_H-M 'C 1 2/m 1'
_symmetry_Int_Tables_number 12
loop_
_symmetry_equiv_pos_as_xyz
'x,y,z'
'-x,-y,-z'
'-x,y,-z'
'x,-y,z'
'x+1/2,y+1/2,z'
'-x+1/2,-y+1/2,-z'
'-x+1/2,y+1/2,-z'
'x+1/2,-y+1/2,z'
loop_
_atom_site_label
_atom_site_fract_x
_atom_site_fract_y
_atom_site_fract_z
_atom_site_occupancy
Pr1 0.005 0.000 0.242 1
Pr2 0.161 0.500 0.095 1
Pr3 0.170 0.500 0.571 1
Bi1 0.167 0.000 0.834 1
Sb1 0.000 0.500 0.500 1
As1 0.000 0.500 0.000 1
As2 0.167 0.000 0.334 1